Density functional theory data (PBE-GGA) for crystalline Sr2Ca2IrO6 at its relaxed geometry.

Lattice parameters (Å, degrees): 6.7971 6.7971 6.7604 88.41 88.41 91.03
Fractional coordinates of all 22 atoms:
Sr  0.1149  0.8851  0.0000
Sr  0.6138  0.7484  0.8628
Sr  0.8863  0.1137  0.5000
Sr  0.2516  0.3862  0.1372
Ca  0.7510  0.2490  0.0000
Ca  0.2499  0.7501  0.5000
Ca  0.7498  0.6051  0.3569
Ca  0.3949  0.2502  0.6431
Ir  0.5018  0.0031  0.2532
Ir  0.9969  0.4982  0.7468
O  0.5803  0.2925  0.3063
O  0.4516  0.0844  0.9600
O  0.7885  0.9437  0.1742
O  0.2875  0.5711  0.7955
O  0.9449  0.7852  0.6674
O  0.0690  0.4556  0.4564
O  0.4289  0.7125  0.2045
O  0.5444  0.9310  0.5436
O  0.2148  0.0551  0.3326
O  0.7075  0.4197  0.6937
O  0.0563  0.2115  0.8258
O  0.9156  0.5484  0.0400

Summary:
Crystal system: monoclinic
ρ in kg/m³: 5786
Raw formation energy in kJ/mol of formula units: -2471
Uncorrected energy in eV/atom: -6.5079

***

Density functional theory data (PBE-GGA) for crystalline Ca2TaIrO6 at its relaxed geometry.

Lattice parameters (Å, degrees): 4.1249 5.5959 5.5959 90.00 90.00 90.00
Fractional coordinates of all 10 atoms:
Ca  0.0595  0.5000  0.0000
Ca  0.0595  0.0000  0.5000
Ta  0.6307  0.0000  0.0000
Ir  0.6679  0.5000  0.5000
O  0.6763  0.2454  0.2454
O  0.6763  0.2454  0.7546
O  0.1674  0.5000  0.5000
O  0.1567  0.0000  0.0000
O  0.6763  0.7546  0.7546
O  0.6763  0.7546  0.2454

Summary:
Crystal system: tetragonal
ρ in kg/m³: 7062
Raw formation energy in kJ/mol of formula units: -2174
Uncorrected energy in eV/atom: -7.7002

***

Density functional theory data (PBE-GGA) for crystalline CaTbIrO6 at its relaxed geometry.

Lattice parameters (Å, degrees): 5.5729 5.5729 9.5517 90.00 90.00 120.00
Fractional coordinates of all 18 atoms:
Ca  0.0000  0.0000  0.0000
Ca  0.0000  0.0000  0.5000
Tb  0.3333  0.6667  0.2500
Tb  0.6667  0.3333  0.7500
Ir  0.6667  0.3333  0.2500
Ir  0.3333  0.6667  0.7500
O  0.6649  0.6185  0.1365
O  0.9536  0.3351  0.1365
O  0.3351  0.9536  0.6365
O  0.0464  0.6649  0.8635
O  0.3815  0.3351  0.3635
O  0.9536  0.6185  0.3635
O  0.6185  0.9536  0.8635
O  0.6649  0.0464  0.3635
O  0.0464  0.3815  0.6365
O  0.3815  0.0464  0.1365
O  0.6185  0.6649  0.6365
O  0.3351  0.3815  0.8635

Summary:
Crystal system: trigonal
ρ in kg/m³: 6298
Raw formation energy in kJ/mol of formula units: -1649
Uncorrected energy in eV/atom: -6.9256

***

Density functional theory data (PBE-GGA) for crystalline CaTb2IrO8 at its relaxed geometry.

Lattice parameters (Å, degrees): 5.0532 5.0453 6.9190 90.00 90.00 90.50
Fractional coordinates of all 12 atoms:
Ca  0.0000  0.0000  0.5000
Tb  0.5000  0.5000  0.7445
Tb  0.5000  0.5000  0.2555
Ir  0.0000  0.0000  0.0000
O  0.1828  0.8157  0.1977
O  0.7311  0.7324  0.0000
O  0.8172  0.1844  0.1977
O  0.8172  0.1843  0.8023
O  0.2689  0.2676  0.0000
O  0.1828  0.8156  0.8023
O  0.6886  0.6893  0.5000
O  0.3114  0.3107  0.5000

Summary:
Crystal system: monoclinic
ρ in kg/m³: 6384
Raw formation energy in kJ/mol of formula units: -2422
Uncorrected energy in eV/atom: -7.0742

***

Density functional theory data (PBE-GGA) for crystalline Ca2TcIrO6 at its relaxed geometry.

Lattice parameters (Å, degrees): 4.0756 5.5657 5.5657 90.00 90.00 90.00
Fractional coordinates of all 10 atoms:
Ca  0.0580  0.5000  0.0000
Ca  0.0580  0.0000  0.5000
Tc  0.6328  0.0000  0.0000
Ir  0.6483  0.5000  0.5000
O  0.6848  0.2476  0.2476
O  0.6848  0.2476  0.7524
O  0.1543  0.5000  0.5000
O  0.1562  0.0000  0.0000
O  0.6848  0.7524  0.7524
O  0.6848  0.7524  0.2476

Summary:
Crystal system: tetragonal
ρ in kg/m³: 6134
Raw formation energy in kJ/mol of formula units: -1629
Uncorrected energy in eV/atom: -6.9860

***

Density functional theory data (PBE-GGA) for crystalline Ca2TiIrO6 at its relaxed geometry.

Lattice parameters (Å, degrees): 3.9261 5.5612 5.5612 90.00 90.00 90.00
Fractional coordinates of all 10 atoms:
Ca  0.0737  0.5000  0.0000
Ca  0.0737  0.0000  0.5000
Ti  0.6251  0.0000  0.0000
Ir  0.6599  0.5000  0.5000
O  0.6740  0.2462  0.2462
O  0.6740  0.2462  0.7538
O  0.1607  0.5000  0.5000
O  0.1576  0.0000  0.0000
O  0.6740  0.7538  0.7538
O  0.6740  0.7538  0.2462

Summary:
Relative energy among the computed polymorphs in eV per formula unit: 0.99
Crystal system: tetragonal
ρ in kg/m³: 5692
Raw formation energy in kJ/mol of formula units: -2209
Uncorrected energy in eV/atom: -7.3405

***

> What is the raw formation energy in the fourth record?

-2422 kJ/mol of formula units

***

> Which value of uncorrected energy does entry 2 give?

-7.7002 eV/atom